First-principles (PBE-GGA) data for a geometry-optimized Hf3PdRu structure, as listed in Alexandria.

offset from the most stable computed form	2.47	eV per formula unit
formation enthalpy at 0 K	821	meV per atom
density	10.43	g cm⁻³
uncorrected energy	-40.224	eV for the cell shown

Unit cell a=4.9092 b=4.9092 c=4.9092 alpha=90.00 beta=90.00 gamma=90.00
With the nearest neighbours (Å) after each atom.
Positions (direct):
Hf: 0.0000 0.0000 0.5000  2 Pd 2.45
Hf: 0.0000 0.5000 0.0000  2 Pd 2.45
Hf: 0.5000 0.0000 0.0000  2 Pd 2.45
Pd: 0.0000 0.0000 0.0000  6 Hf 2.45
Ru: 0.5000 0.5000 0.5000  12 Hf 3.47